# 1
The following is a PBE calculation of an optimized crystal structure of Y2FeCu, from Alexandria via LeMat-Bulk.

Values from the calculation:
The formation energy from the elements is 0.198 eV per atom.

CIF file:
```
data_Y2FeCu
_chemical_formula_sum 'Y2 Fe1 Cu1'
_space_group_name_H-M_alt 'P 4 m m'
_space_group_IT_number 99
_space_group_name_Hall 'P 4 -2'
_cell_length_a 3.800
_cell_length_b 3.800
_cell_length_c 6.081
_cell_angle_alpha 90.00
_cell_angle_beta 90.00
_cell_angle_gamma 90.00
loop_
_atom_site_label
_atom_site_fract_x
_atom_site_fract_y
_atom_site_fract_z
Y1 0.000 0.000 0.000
Y2 0.500 0.500 0.376
Fe1 0.500 0.500 0.848
Cu1 0.000 0.000 0.546
```



# 2
The following is a PBE calculation of an optimized crystal structure of YFe2Cu, from Alexandria via LeMat-Bulk.

Values from the calculation:
The formation energy from the elements is 0.410 eV per atom.

CIF file:
```
data_YFe2Cu
_chemical_formula_sum 'Y2 Fe4 Cu2'
_space_group_name_H-M_alt 'C 1 2/m 1'
_space_group_IT_number 12
_space_group_name_Hall '-C 2y'
_cell_length_a 5.360
_cell_length_b 9.114
_cell_length_c 2.966
_cell_angle_alpha 90.00
_cell_angle_beta 118.92
_cell_angle_gamma 90.00
loop_
_atom_site_label
_atom_site_fract_x
_atom_site_fract_y
_atom_site_fract_z
Y1 0.000 0.000 0.000
Fe1 0.250 0.250 0.500
Cu1 0.000 0.500 0.000
```



# 3
The following is a PBE calculation of an optimized crystal structure of YFeCu, from Alexandria via LeMat-Bulk.

Values from the calculation:
The formation energy from the elements is 0.357 eV per atom.

CIF file:
```
data_YFeCu
_chemical_formula_sum 'Y4 Fe4 Cu4'
_space_group_name_H-M_alt 'F -4 3 m'
_space_group_IT_number 216
_space_group_name_Hall 'F -4 2 3'
_cell_length_a 6.244
_cell_length_b 6.244
_cell_length_c 6.244
_cell_angle_alpha 90.00
_cell_angle_beta 90.00
_cell_angle_gamma 90.00
loop_
_atom_site_label
_atom_site_fract_x
_atom_site_fract_y
_atom_site_fract_z
Y1 0.000 0.000 0.000
Fe1 0.000 0.000 0.500
Cu1 0.250 0.250 0.750
```



# 4
The following is a PBE calculation of an optimized crystal structure of Y2FeCu, from Alexandria via LeMat-Bulk.

Values from the calculation:
The formation energy from the elements is 0.112 eV per atom.

CIF file:
```
data_Y2FeCu
_chemical_formula_sum 'Y2 Fe1 Cu1'
_space_group_name_H-M_alt 'P 4 m m'
_space_group_IT_number 99
_space_group_name_Hall 'P 4 -2'
_cell_length_a 3.354
_cell_length_b 3.354
_cell_length_c 7.681
_cell_angle_alpha 90.00
_cell_angle_beta 90.00
_cell_angle_gamma 90.00
loop_
_atom_site_label
_atom_site_fract_x
_atom_site_fract_y
_atom_site_fract_z
Y1 0.000 0.000 0.000
Y2 0.500 0.500 0.385
Fe1 0.500 0.500 0.762
Cu1 0.000 0.000 0.622
```



# 5
The following is a PBE calculation of an optimized crystal structure of YFe2Cu, from Alexandria via LeMat-Bulk.

Values from the calculation:
The formation energy from the elements is 0.627 eV per atom.

CIF file:
```
data_YFe2Cu
_chemical_formula_sum 'Y3 Fe6 Cu3'
_space_group_name_H-M_alt 'R -3 m'
_space_group_IT_number 166
_space_group_name_Hall '-R 3 2"'
_cell_length_a 2.9627
_cell_length_b 2.9627
_cell_length_c 26.1580
_cell_angle_alpha 90.00
_cell_angle_beta 90.00
_cell_angle_gamma 120.00
loop_
_atom_site_label
_atom_site_fract_x
_atom_site_fract_y
_atom_site_fract_z
Y1 0.0000 0.0000 0.0000
Fe1 0.0000 0.0000 0.2395
Cu1 0.0000 0.0000 0.5000
```



# 6
The following is a PBE calculation of an optimized crystal structure of YFe2Cu, from Alexandria via LeMat-Bulk.

Values from the calculation:
The formation energy from the elements is 0.374 eV per atom.

CIF file:
```
data_YFe2Cu
_chemical_formula_sum 'Y4 Fe8 Cu4'
_space_group_name_H-M_alt 'F m -3 m'
_space_group_IT_number 225
_space_group_name_Hall '-F 4 2 3'
_cell_length_a 6.316
_cell_length_b 6.316
_cell_length_c 6.316
_cell_angle_alpha 90.00
_cell_angle_beta 90.00
_cell_angle_gamma 90.00
loop_
_atom_site_label
_atom_site_fract_x
_atom_site_fract_y
_atom_site_fract_z
Y1 0.000 0.000 0.000
Fe1 0.250 0.250 0.250
Cu1 0.000 0.000 0.500
```



# 7
The following is a PBE calculation of an optimized crystal structure of YFe2Cu, from Alexandria via LeMat-Bulk.

Values from the calculation:
The formation energy from the elements is 0.251 eV per atom.

CIF file:
```
data_YFe2Cu
_chemical_formula_sum 'Y1 Fe2 Cu1'
_space_group_name_H-M_alt 'P 4/m m m'
_space_group_IT_number 123
_space_group_name_Hall '-P 4 2'
_cell_length_a 3.218
_cell_length_b 3.218
_cell_length_c 6.209
_cell_angle_alpha 90.00
_cell_angle_beta 90.00
_cell_angle_gamma 90.00
loop_
_atom_site_label
_atom_site_fract_x
_atom_site_fract_y
_atom_site_fract_z
Y1 0.000 0.000 0.000
Fe1 0.500 0.500 0.317
Cu1 0.000 0.000 0.500
```



# 8
The following is a PBE calculation of an optimized crystal structure of YZrFeCu, from Alexandria via LeMat-Bulk.

Values from the calculation:
The formation energy from the elements is -0.033 eV per atom.

CIF file:
```
data_YZrFeCu
_chemical_formula_sum 'Y4 Zr4 Fe4 Cu4'
_space_group_name_H-M_alt 'F -4 3 m'
_space_group_IT_number 216
_space_group_name_Hall 'F -4 2 3'
_cell_length_a 6.646
_cell_length_b 6.646
_cell_length_c 6.646
_cell_angle_alpha 90.00
_cell_angle_beta 90.00
_cell_angle_gamma 90.00
loop_
_atom_site_label
_atom_site_fract_x
_atom_site_fract_y
_atom_site_fract_z
Y1 0.000 0.000 0.000
Zr1 0.000 0.000 0.500
Fe1 0.250 0.250 0.250
Cu1 0.250 0.250 0.750
```



Number 1: V 21.96 Å³ per atom. Number 2: V 15.85 Å³ per atom. Number 3: V 20.28 Å³ per atom. Number 4: V 21.60 Å³ per atom. Number 5: V 16.57 Å³ per atom. Number 6: V 15.75 Å³ per atom. Number 7: V 16.08 Å³ per atom. Number 8: V 18.34 Å³ per atom.